VASP calculation (GGA-PBE) on BaNb4O6 after structural relaxation.

Output
Energy relative to the elements, uncorrected: -2.358 eV/atom
Theoretical density: 6.72 Mg/m³

abc: 4.239 4.239 8.321
angles: 90.00 90.00 90.00
Fractional coordinates of all 11 atoms:
Ba 0.000 0.000 0.000
Nb 0.500 0.000 0.500
Nb 0.000 0.500 0.500
Nb 0.500 0.500 0.254
Nb 0.500 0.500 0.746
O 0.500 0.500 0.000
O 0.500 0.000 0.244
O 0.000 0.500 0.244
O 0.500 0.000 0.756
O 0.000 0.500 0.756
O 0.000 0.000 0.500